No. 1
Here is a relaxed structure of SmZnAgPt from Alexandria via LeMat-Bulk. Energies are from PBE.

```
SmZnAgPt
1.0
-2.340 0.937 -4.117
-2.197 -3.570 -2.394
-4.822 -0.205 -0.136
Ag Pt Sm Zn
1 1 1 1
Direct
0.750 0.750 0.750 Ag
0.250 0.250 0.250 Pt
0.000 0.000 0.000 Sm
0.500 0.500 0.500 Zn
```

Values from the calculation:
Spin magnetization: 0.000 μB per formula unit
D(E_F): 0.76 states/eV/atom
Crystal system: cubic
Energy of formation from the pure elements: -0.505 eV/atom


No. 2
Here is a relaxed structure of RbCoAsSe2 from Alexandria via LeMat-Bulk. Energies are from PBE.

```
RbCoAsSe2
1.0
-2.785 1.500 -4.404
3.221 -1.704 -2.618
-2.547 -4.786 -0.019
Se Rb Co As
2 1 1 1
Direct
0.500 0.000 0.000 Se
0.000 0.000 0.500 Se
0.500 0.500 0.500 Rb
0.000 0.500 0.000 Co
0.000 0.000 0.000 As
```

Values from the calculation:
Spin magnetization: 1.466 μB per formula unit
D(E_F): 1.08 states/eV/atom
E_form (uncorrected): 0.066 eV per atom
Crystal system: tetragonal
Relative energy among the computed polymorphs: 0.73 eV per formula unit


No. 3
Here is a relaxed structure of Ta4FeSe from Alexandria via LeMat-Bulk. Energies are from PBE.

```
Ta4FeSe
1.0
0.000 3.850 3.850
3.850 0.000 3.850
3.850 3.850 0.000
Se Ta Fe
1 4 1
Direct
0.000 0.000 0.000 Se
0.376 0.376 0.376 Ta
0.872 0.376 0.376 Ta
0.376 0.872 0.376 Ta
0.376 0.376 0.872 Ta
0.750 0.750 0.750 Fe
```

Values from the calculation:
Spin magnetization: 2.311 μB per formula unit
D(E_F): 1.57 states/eV/atom
E_form (uncorrected): 0.744 eV per atom
Crystal system: cubic


No. 4
Here is a relaxed structure of Sr2CrCl6 from Alexandria via LeMat-Bulk. Energies are from PBE.

```
Sr2CrCl6
1.0
6.514 0.000 0.229
0.000 7.891 0.000
-0.474 0.000 9.256
Cl Sr Cr
12 4 2
Direct
0.667 0.179 0.938 Cl
0.689 0.150 0.554 Cl
0.333 0.821 0.062 Cl
0.883 0.968 0.257 Cl
0.833 0.679 0.562 Cl
0.311 0.850 0.446 Cl
0.617 0.468 0.243 Cl
0.167 0.321 0.438 Cl
0.383 0.532 0.757 Cl
0.189 0.350 0.054 Cl
0.117 0.032 0.743 Cl
0.811 0.650 0.946 Cl
0.541 0.884 0.761 Sr
0.959 0.384 0.739 Sr
0.041 0.616 0.261 Sr
0.459 0.116 0.239 Sr
0.000 0.000 0.500 Cr
0.500 0.500 0.000 Cr
```

Values from the calculation:
Spin magnetization: 4.000 μB per formula unit
E_form (uncorrected): -1.958 eV per atom
Crystal system: monoclinic


No. 5
Here is a relaxed structure of HoPu2ThSb4 from Alexandria via LeMat-Bulk. Energies are from PBE.

```
HoPu2ThSb4
1.0
-0.971 -2.521 -3.542
-0.358 -6.212 4.520
-6.939 3.274 -0.428
Ho Sb Th Pu
1 4 1 2
Direct
0.000 0.000 0.000 Ho
0.500 0.754 0.750 Sb
0.000 0.756 0.253 Sb
0.000 0.244 0.747 Sb
0.500 0.246 0.250 Sb
0.500 0.500 0.000 Th
0.500 0.000 0.500 Pu
0.000 0.500 0.500 Pu
```

Values from the calculation:
Spin magnetization: 10.770 μB per formula unit
D(E_F): 3.30 states/eV/atom
E_form (uncorrected): -0.834 eV per atom
Crystal system: monoclinic


No. 6
Here is a relaxed structure of BaPr2Hg2 from Alexandria via LeMat-Bulk. Energies are from PBE.

```
BaPr2Hg2
1.0
-0.790 3.866 -0.247
-1.270 -0.013 3.846
9.456 2.268 5.263
Pr Hg Ba
2 2 1
Direct
0.000 0.820 0.360 Pr
0.000 0.180 0.640 Pr
0.500 0.392 0.216 Hg
0.500 0.608 0.784 Hg
0.000 0.000 0.000 Ba
```

Values from the calculation:
Spin magnetization: 0.574 μB per formula unit
D(E_F): 1.00 states/eV/atom
Crystal system: orthorhombic
Energy of formation from the pure elements: -0.295 eV/atom


No. 7
Here is a relaxed structure of MgMo2Ru from Alexandria via LeMat-Bulk. Energies are from PBE.

```
MgMo2Ru
1.0
4.445 0.000 0.000
2.223 3.850 0.000
2.223 1.283 3.629
Mo Ru Mg
2 1 1
Direct
0.250 0.250 0.250 Mo
0.000 0.000 0.000 Mo
0.750 0.750 0.750 Ru
0.500 0.500 0.500 Mg
```

Values from the calculation:
Spin magnetization: 0.001 μB per formula unit
D(E_F): 1.56 states/eV/atom
Crystal system: cubic
Energy of formation from the pure elements: 0.211 eV/atom


No. 8
Here is a relaxed structure of CsCaSnO3 from Alexandria via LeMat-Bulk. Energies are from PBE.

```
CsCaSnO3
1.0
4.164 0.000 0.000
0.000 6.342 1.116
0.000 -1.770 9.974
Ca Sn O Cs
2 2 6 2
Direct
0.750 0.213 0.003 Ca
0.250 0.787 0.997 Ca
0.250 0.293 0.746 Sn
0.750 0.707 0.254 Sn
0.750 0.250 0.695 O
0.250 0.750 0.305 O
0.250 0.125 0.920 O
0.250 0.581 0.824 O
0.750 0.875 0.080 O
0.750 0.419 0.176 O
0.750 0.771 0.649 Cs
0.250 0.229 0.351 Cs
```

Values from the calculation:
Spin magnetization: 0.000 μB per formula unit
D(E_F): 0.20 states/eV/atom
E_form (uncorrected): -1.863 eV per atom
Crystal system: monoclinic


No. 9
Here is a relaxed structure of TlSbTeF2 from Alexandria via LeMat-Bulk. Energies are from PBE.

```
TlSbTeF2
1.0
-1.702 3.522 -2.521
-4.300 -1.700 0.528
-0.670 3.243 4.984
F Te Sb Tl
2 1 1 1
Direct
0.500 0.000 0.000 F
0.000 0.500 0.000 F
0.000 0.000 0.500 Te
0.000 0.000 0.000 Sb
0.500 0.500 0.500 Tl
```

Values from the calculation:
Spin magnetization: 0.000 μB per formula unit
D(E_F): 0.14 states/eV/atom
E_form (uncorrected): -1.223 eV per atom
Crystal system: tetragonal


No. 10
Here is a relaxed structure of KIn2Os from Alexandria via LeMat-Bulk. Energies are from PBE.

```
KIn2Os
1.0
-4.266 -1.172 -0.385
0.604 -2.686 1.486
-1.628 3.578 7.148
Os In K
1 2 1
Direct
0.500 0.626 0.909 Os
0.500 0.125 0.191 In
0.000 0.126 0.893 In
0.000 0.624 0.507 K
```

Values from the calculation:
Spin magnetization: 0.177 μB per formula unit
D(E_F): 0.62 states/eV/atom
Crystal system: monoclinic
Energy of formation from the pure elements: 0.384 eV/atom
Relative energy among the computed polymorphs: 0.20 eV per formula unit


No. 11
Here is a relaxed structure of CrSbBr from Alexandria via LeMat-Bulk. Energies are from PBE.

```
CrSbBr
1.0
4.695 0.000 0.000
-2.348 4.066 0.000
0.000 0.000 3.464
Cr Br Sb
1 1 1
Direct
0.667 0.333 0.199 Cr
0.000 0.000 0.157 Br
0.333 0.667 0.644 Sb
```

Values from the calculation:
Spin magnetization: 3.059 μB per formula unit
D(E_F): 0.93 states/eV/atom
E_form (uncorrected): 0.346 eV per atom
Crystal system: trigonal
Relative energy among the computed polymorphs: 0.94 eV per formula unit


No. 12
Here is a relaxed structure of Pr2NdTmO6 from Alexandria via LeMat-Bulk. Energies are from PBE.

```
Pr2NdTmO6
1.0
-3.756 2.521 -3.996
-0.866 -2.594 -5.381
-5.454 -2.763 -1.176
O Nd Pr Tm
6 1 2 1
Direct
0.943 0.605 0.254 O
0.424 0.687 0.763 O
0.198 0.943 0.254 O
0.125 0.424 0.763 O
0.687 0.125 0.763 O
0.605 0.198 0.254 O
0.806 0.806 0.582 Nd
0.029 0.029 0.913 Pr
0.532 0.532 0.405 Pr
0.312 0.312 0.065 Tm
```

Values from the calculation:
Spin magnetization: 0.000 μB per formula unit
D(E_F): 0.00 states/eV/atom
E_form (uncorrected): -3.362 eV per atom
Crystal system: trigonal


No. 13
Here is a relaxed structure of CeSmLuTl from Alexandria via LeMat-Bulk. Energies are from PBE.

```
CeSmLuTl
1.0
5.503 0.000 0.000
2.751 4.766 0.000
2.751 1.589 4.493
Lu Sm Tl Ce
1 1 1 1
Direct
0.500 0.500 0.500 Lu
0.750 0.750 0.750 Sm
0.000 0.000 0.000 Tl
0.250 0.250 0.250 Ce
```

Values from the calculation:
Spin magnetization: 1.751 μB per formula unit
D(E_F): 2.45 states/eV/atom
Crystal system: cubic
Energy of formation from the pure elements: -0.016 eV/atom


No. 14
Here is a relaxed structure of LiTbIn from Alexandria via LeMat-Bulk. Energies are from PBE.

```
LiTbIn
1.0
-4.164 -2.797 0.370
4.156 -1.927 -2.078
1.875 -2.046 5.648
In Li Tb
2 2 2
Direct
0.432 0.432 0.500 In
0.432 0.432 0.000 In
0.098 0.767 0.250 Li
0.767 0.098 0.750 Li
0.765 0.099 0.250 Tb
0.099 0.765 0.750 Tb
```

Values from the calculation:
Spin magnetization: 0.000 μB per formula unit
D(E_F): 0.53 states/eV/atom
Crystal system: orthorhombic
Energy of formation from the pure elements: -0.283 eV/atom


No. 15
Here is a relaxed structure of Li2Re from Alexandria via LeMat-Bulk. Energies are from PBE.

```
Li2Re
1.0
-0.550 -1.287 2.287
2.275 -0.524 -1.319
3.411 5.276 3.790
Re Li
1 2
Direct
0.000 0.000 0.000 Re
0.333 0.667 0.684 Li
0.667 0.333 0.316 Li
```

Values from the calculation:
Spin magnetization: 0.000 μB per formula unit
D(E_F): 0.27 states/eV/atom
Crystal system: trigonal
Energy of formation from the pure elements: 0.194 eV/atom
Relative energy among the computed polymorphs: 0.00 eV per formula unit


No. 16
Here is a relaxed structure of CePmLuAg from Alexandria via LeMat-Bulk. Energies are from PBE.

```
CePmLuAg
1.0
5.344 0.000 0.000
2.672 4.628 0.000
2.672 1.543 4.363
Pm Ag Ce Lu
1 1 1 1
Direct
0.750 0.750 0.750 Pm
0.250 0.250 0.250 Ag
0.500 0.500 0.500 Ce
0.000 0.000 0.000 Lu
```

Values from the calculation:
Spin magnetization: 2.943 μB per formula unit
D(E_F): 1.45 states/eV/atom
Crystal system: cubic
Energy of formation from the pure elements: 0.121 eV/atom


No. 17
Here is a relaxed structure of Sc2Ga3Hg from Alexandria via LeMat-Bulk. Energies are from PBE.

```
Sc2Ga3Hg
1.0
-6.124 -2.372 -1.229
3.285 -5.104 -6.519
-0.452 -3.146 8.322
Ga Sc Hg
12 8 4
Direct
0.535 0.837 0.163 Ga
0.035 0.675 0.837 Ga
0.535 0.325 0.163 Ga
0.465 0.163 0.325 Ga
0.465 0.675 0.837 Ga
0.965 0.837 0.163 Ga
0.035 0.163 0.837 Ga
0.535 0.837 0.675 Ga
0.965 0.837 0.675 Ga
0.465 0.163 0.837 Ga
0.035 0.163 0.325 Ga
0.965 0.325 0.163 Ga
0.250 0.001 0.501 Sc
0.250 0.000 0.000 Sc
0.750 0.501 0.499 Sc
0.250 0.499 0.999 Sc
0.750 0.000 0.000 Sc
0.750 0.999 0.499 Sc
0.250 0.499 0.501 Sc
0.750 0.501 0.001 Sc
0.526 0.333 0.667 Hg
0.026 0.667 0.333 Hg
0.474 0.667 0.333 Hg
0.974 0.333 0.667 Hg
```

Values from the calculation:
Spin magnetization: 0.000 μB per formula unit
D(E_F): 0.65 states/eV/atom
Crystal system: hexagonal
Energy of formation from the pure elements: -0.474 eV/atom
Relative energy among the computed polymorphs: 0.00 eV per formula unit


No. 18
Here is a relaxed structure of Er3PtRh8 from Alexandria via LeMat-Bulk. Energies are from PBE.

```
Er3PtRh8
1.0
5.044 0.000 1.496
2.300 4.489 1.496
0.036 0.022 9.132
Rh Er Pt
8 3 1
Direct
0.061 0.061 0.317 Rh
0.311 0.311 0.066 Rh
0.562 0.061 0.317 Rh
0.061 0.562 0.317 Rh
0.811 0.811 0.567 Rh
0.562 0.061 0.815 Rh
0.562 0.562 0.815 Rh
0.061 0.562 0.815 Rh
0.010 0.010 0.969 Er
0.492 0.492 0.523 Er
0.624 0.624 0.128 Er
0.133 0.133 0.602 Pt
```

Values from the calculation:
Spin magnetization: 0.000 μB per formula unit
D(E_F): 1.12 states/eV/atom
Crystal system: trigonal
Energy of formation from the pure elements: -0.569 eV/atom


No. 19
Here is a relaxed structure of Li3PmCd2 from Alexandria via LeMat-Bulk. Energies are from PBE.

```
Li3PmCd2
1.0
-2.246 -3.993 0.020
2.276 1.313 -7.026
5.930 -3.298 7.175
Cd Li Pm
4 6 2
Direct
0.423 0.846 0.796 Cd
0.577 0.154 0.204 Cd
0.815 0.629 0.279 Cd
0.185 0.371 0.721 Cd
0.438 0.877 0.326 Li
0.728 0.456 0.569 Li
0.058 0.115 0.380 Li
0.942 0.885 0.620 Li
0.562 0.123 0.674 Li
0.272 0.544 0.431 Li
0.859 0.718 0.983 Pm
0.141 0.282 0.017 Pm
```

Values from the calculation:
Spin magnetization: 0.000 μB per formula unit
D(E_F): 0.63 states/eV/atom
Crystal system: monoclinic
Energy of formation from the pure elements: -0.178 eV/atom


No. 20
Here is a relaxed structure of GeBiPd3 from Alexandria via LeMat-Bulk. Energies are from PBE.

```
GeBiPd3
1.0
4.697 0.000 0.000
0.000 4.697 0.000
0.000 0.000 4.697
Pd Ge Bi
3 1 1
Direct
0.000 0.500 0.000 Pd
0.500 0.000 0.000 Pd
0.000 0.000 0.500 Pd
0.000 0.000 0.000 Ge
0.500 0.500 0.500 Bi
```

Values from the calculation:
Spin magnetization: 0.000 μB per formula unit
D(E_F): 0.27 states/eV/atom
Crystal system: cubic
Energy of formation from the pure elements: -0.087 eV/atom
Relative energy among the computed polymorphs: 0.00 eV per formula unit


No. 21
Here is a relaxed structure of CuNiMo2 from Alexandria via LeMat-Bulk. Energies are from PBE.

```
CuNiMo2
1.0
-7.952 -0.452 4.397
-7.827 -2.986 3.549
-6.610 -2.275 5.823
Mo Ni Cu
2 1 1
Direct
0.502 0.502 0.502 Mo
0.998 0.998 0.998 Mo
0.250 0.250 0.250 Ni
0.750 0.750 0.750 Cu
```

Values from the calculation:
Spin magnetization: 0.000 μB per formula unit
D(E_F): 0.74 states/eV/atom
Crystal system: trigonal
Energy of formation from the pure elements: 0.258 eV/atom


No. 22
Here is a relaxed structure of NaMgIrF6 from Alexandria via LeMat-Bulk. Energies are from PBE.

```
NaMgIrF6
1.0
5.355 0.000 0.000
-2.677 4.637 0.000
0.000 0.000 9.813
Na F Ir Mg
2 12 2 2
Direct
0.000 0.000 0.500 Na
0.000 0.000 0.000 Na
0.354 0.002 0.642 F
0.352 0.354 0.358 F
0.646 0.998 0.358 F
0.352 0.998 0.142 F
0.998 0.352 0.642 F
0.648 0.002 0.858 F
0.002 0.648 0.358 F
0.646 0.648 0.142 F
0.998 0.646 0.858 F
0.354 0.352 0.858 F
0.002 0.354 0.142 F
0.648 0.646 0.642 F
0.333 0.667 0.750 Ir
0.667 0.333 0.250 Ir
0.333 0.667 0.250 Mg
0.667 0.333 0.750 Mg
```

Values from the calculation:
Spin magnetization: 0.183 μB per formula unit
D(E_F): 0.00 states/eV/atom
E_form (uncorrected): -2.393 eV per atom
Crystal system: trigonal


No. 23
Here is a relaxed structure of GaSnIr2N from Alexandria via LeMat-Bulk. Energies are from PBE.

```
GaSnIr2N
1.0
-2.729 -2.253 -2.922
3.193 -4.278 0.317
-2.471 -1.583 3.529
Sn Ir N Ga
1 2 1 1
Direct
0.000 0.500 0.000 Sn
0.000 0.000 0.500 Ir
0.500 0.000 0.000 Ir
0.500 0.500 0.500 N
0.000 0.000 0.000 Ga
```

Values from the calculation:
Spin magnetization: 3.307 μB per formula unit
D(E_F): 0.99 states/eV/atom
E_form (uncorrected): 2.080 eV per atom
Crystal system: tetragonal


No. 24
Here is a relaxed structure of DyAs2HO6 from Alexandria via LeMat-Bulk. Energies are from PBE.

```
DyAs2HO6
1.0
-4.214 -3.168 -4.267
4.684 -4.556 -3.173
-2.615 -5.113 4.448
As Dy O H
4 2 12 2
Direct
0.864 0.136 0.250 As
0.364 0.250 0.136 As
0.136 0.864 0.750 As
0.636 0.750 0.864 As
0.250 0.776 0.224 Dy
0.750 0.224 0.776 Dy
0.823 0.888 0.777 O
0.677 0.223 0.112 O
0.599 0.784 0.118 O
0.401 0.216 0.882 O
0.177 0.112 0.223 O
0.746 0.192 0.480 O
0.254 0.808 0.520 O
0.754 0.520 0.808 O
0.246 0.480 0.192 O
0.099 0.118 0.784 O
0.901 0.882 0.216 O
0.323 0.777 0.888 O
0.250 0.172 0.828 H
0.750 0.828 0.172 H
```

Values from the calculation:
Spin magnetization: 0.000 μB per formula unit
Final energy: -6.349 eV per atom
D(E_F): 0.24 states/eV/atom
Crystal system: monoclinic